## BaVGeTe2 (GGA-PBE)

Data for BaVGeTe2 after structural relaxation.

As for the density of states at the Fermi level: 4.55 states/eV/cell. For the total energy, the calculation gives -4.88 eV per atom.

The structure belongs to space group P4/mmm (No. 123); the cell edges are 5.5379, 5.5379 and 4.8180 Å and the angles 90.00°, 90.00° and 90.00°. The inequivalent atoms are Ba at (0.0000, 0.0000, 0.0000), V at (0.5000, 0.5000, 0.5000), Ge at (0.5000, 0.5000, 0.0000) and Te at (0.0000, 0.5000, 0.5000).

## KCO2F (GGA-PBE)

Data for KCO2F after structural relaxation.

As for the density of states at the Fermi level: 3.50 states/eV/cell. For the total energy, the calculation gives -5.56 eV per atom.

The structure belongs to space group C2/m (No. 12); the cell edges are 20.3100, 2.5425 and 5.0003 Å and the angles 90.00°, 100.34° and 90.00°. The inequivalent atoms are K at (0.1901, 0.0000, 0.2070), C at (0.0306, 0.5000, 0.6744), O at (0.0405, 0.5000, 0.4018), O at (0.0551, 0.0000, 0.8208) and F at (0.2018, 0.0000, 0.7138).

## Zn2FeNi (GGA-PBE)

Data for Zn2FeNi after structural relaxation.

As for the density of states at the Fermi level: 5.07 states/eV/cell. Its calculated formation energy is 0.011 eV/atom.

The structure belongs to space group Immm (No. 71); the cell edges are 2.7591, 4.3203 and 8.5321 Å and the angles 90.00°, 90.00° and 90.00°. The inequivalent atoms are Zn at (0.0000, 0.0000, 0.2431), Fe at (0.0000, 0.5000, 0.0000) and Ni at (0.0000, 0.5000, 0.5000).